Below is a relaxed CsTmCuI5 crystal, with properties calculated at the PBE level.

CIF file:
```
data_CsTmCuI5
_cell_length_a 8.4136
_cell_length_b 8.4136
_cell_length_c 11.3045
_cell_angle_alpha 103.87
_cell_angle_beta 103.87
_cell_angle_gamma 105.07
_symmetry_space_group_name_H-M 'P 1'
_symmetry_Int_Tables_number 1
_symmetry_space_group_name_Hall 'P 1'
loop_
_atom_site_label
_atom_site_type_symbol
_atom_site_fract_x
_atom_site_fract_y
_atom_site_fract_z
Cs1 Cs 0.1458 0.8542 0.7500
Cs2 Cs 0.8542 0.1458 0.2500
Tm1 Tm 0.5000 0.5000 0.0000
Tm2 Tm 0.5000 0.5000 0.5000
Cu1 Cu 0.1891 0.8109 0.2500
Cu2 Cu 0.8109 0.1891 0.7500
I1 I 0.1218 0.2806 0.9293
I2 I 0.1912 0.6008 0.3904
I3 I 0.2806 0.1218 0.4293
I4 I 0.3992 0.8088 0.1096
I5 I 0.4268 0.5732 0.7500
I6 I 0.5732 0.4268 0.2500
I7 I 0.6008 0.1912 0.8904
I8 I 0.7194 0.8782 0.5707
I9 I 0.8088 0.3992 0.6096
I10 I 0.8782 0.7194 0.0707
```

Calculated values
The crystal system is monoclinic. The value obtained for the formation energy without anion corrections is -1081 meV per atom. The value obtained for the final energy is -3.227 eV per atom. The spin magnetization is 0.0 μB per formula unit. The space-group type is C2/c.

***

Below is a relaxed Ho2SeCl2 crystal, with properties calculated at the PBE level.

CIF file:
```
data_Ho2SeCl2
_cell_length_a 3.9729
_cell_length_b 3.9729
_cell_length_c 10.8229
_cell_angle_alpha 101.78
_cell_angle_beta 101.78
_cell_angle_gamma 60.13
_symmetry_space_group_name_H-M 'P 1'
_symmetry_Int_Tables_number 1
_symmetry_space_group_name_Hall 'P 1'
loop_
_atom_site_label
_atom_site_type_symbol
_atom_site_fract_x
_atom_site_fract_y
_atom_site_fract_z
Ho1 Ho 0.2211 0.2211 0.1480
Ho2 Ho 0.7789 0.7789 0.8520
Se1 Se 0.5000 0.5000 0.0000
Cl1 Cl 0.0560 0.0560 0.6987
Cl2 Cl 0.9440 0.9440 0.3013
```

Calculated values
The crystal system is monoclinic. The value obtained for the formation energy without anion corrections is -1872 meV per atom. The value obtained for the final energy is -5.138 eV per atom. The spin magnetization is 0.0 μB per formula unit. The space-group type is C2/m.

***

Below is a relaxed CaAlPb2 crystal, with properties calculated at the PBE level.

CIF file:
```
data_CaAlPb2
_cell_length_a 9.6669
_cell_length_b 9.6669
_cell_length_c 9.6669
_cell_angle_alpha 22.32
_cell_angle_beta 22.32
_cell_angle_gamma 22.32
_symmetry_space_group_name_H-M 'P 1'
_symmetry_Int_Tables_number 1
_symmetry_space_group_name_Hall 'P 1'
loop_
_atom_site_label
_atom_site_type_symbol
_atom_site_fract_x
_atom_site_fract_y
_atom_site_fract_z
Ca1 Ca 0.0000 0.0000 0.0000
Al1 Al 0.5000 0.5000 0.5000
Pb1 Pb 0.2411 0.2411 0.2411
Pb2 Pb 0.7589 0.7589 0.7589
```

Calculated values
The value obtained for the calculated formation energy is -0.0356 eV/atom. The crystal system is trigonal. The value obtained for the final energy is -3.326 eV per atom. The spin magnetization is 0.0 μB per formula unit. The space-group type is R-3m.